# 1
Below is crystalline Cs2RbU3S8 at its relaxed geometry, with properties calculated at the PBE-GGA level.

abc: 8.2398 8.2398 24.7309
angles: 90.00 90.00 120.00
Space group R3m (No. 160, hexagonal axes)
Symmetry-distinct sites (fractional):
Cs  0.0000  0.0000  0.0000
Cs  0.0000  0.0000  0.3639
Rb  0.0000  0.0000  0.6302
U  0.0005  0.5002  0.4999
S  0.0000  0.0000  0.2234
S  0.0000  0.0000  0.7747
S  0.0364  0.5182  0.7777
S  0.1841  0.3681  0.5562

Summary:
Formation energy from raw total energies = -1.359 eV per atom
Total magnetization = 5.0 μB/f.u.


# 2
Below is crystalline Sr2YIr at its relaxed geometry, with properties calculated at the PBE-GGA level.

abc: 3.9242 3.9242 31.9239
angles: 90.00 90.00 120.00
Space group R-3m (No. 166, hexagonal axes)
Symmetry-distinct sites (fractional):
Sr  0.0000  0.0000  0.2255
Y  0.0000  0.0000  0.0000
Ir  0.0000  0.0000  0.5000

Summary:
Total energy = -52.499 eV per cell
Total magnetization = 1.0 μB/f.u.


# 3
Below is crystalline ZrCr at its relaxed geometry, with properties calculated at the PBE-GGA level.

abc: 3.1297 3.1297 8.7977
angles: 90.00 90.00 120.00
Space group P6_3/mmc (No. 194)
Symmetry-distinct sites (fractional):
Zr  0.0000  0.0000  0.0000
Cr  0.3333  0.6667  0.2500

Summary:
Total energy = -34.381 eV per cell
Total magnetization = 2.2 μB/f.u.


# 4
Below is crystalline CaAsRu2 at its relaxed geometry, with properties calculated at the PBE-GGA level.

abc: 3.142 3.142 6.835
angles: 90.00 90.00 90.00
Space group P4/mmm (No. 123)
Symmetry-distinct sites (fractional):
Ca  0.000  0.000  0.000
As  0.000  0.000  0.500
Ru  0.500  0.500  0.299

Summary:
Total energy = -24.983 eV per cell
Total magnetization = 0.0 μB/f.u.


# 5
Below is crystalline SrTe2Ru2 at its relaxed geometry, with properties calculated at the PBE-GGA level.

abc: 4.321 4.321 12.793
angles: 90.00 90.00 90.00
Space group I4/mmm (No. 139)
Symmetry-distinct sites (fractional):
Sr  0.000  0.000  0.000
Te  0.000  0.000  0.363
Ru  0.000  0.500  0.250

Summary:
Formation energy from raw total energies = -0.415 eV per atom
Total magnetization = 0.0 μB/f.u.


# 6
Below is crystalline CaAgBi2 at its relaxed geometry, with properties calculated at the PBE-GGA level.

abc: 7.647 7.647 7.647
angles: 90.00 90.00 90.00
Space group Fm-3m (No. 225)
Symmetry-distinct sites (fractional):
Ca  0.000  0.000  0.000
Ag  0.000  0.000  0.500
Bi  0.250  0.250  0.250

Summary:
Total energy = -53.954 eV per cell
Total magnetization = 0.0 μB/f.u.


# 7
Below is crystalline Ba2MgZn12Pt3 at its relaxed geometry, with properties calculated at the PBE-GGA level.

abc: 8.8752 8.8752 19.8511
angles: 90.00 90.00 120.00
Space group R-3m (No. 166, hexagonal axes)
Symmetry-distinct sites (fractional):
Ba  0.0000  0.0000  0.1020
Mg  0.0000  0.0000  0.5000
Zn  0.0086  0.5043  0.1273
Zn  0.1086  0.2173  0.7194
Pt  0.0000  0.5000  0.0000

Summary:
Total energy = -116.940 eV per cell
Total magnetization = 0.0 μB/f.u.


# 8
Below is crystalline GeAsO2F at its relaxed geometry, with properties calculated at the PBE-GGA level.

abc: 3.870 3.870 4.069
angles: 90.00 90.00 90.00
Space group P4/mmm (No. 123)
Symmetry-distinct sites (fractional):
Ge  0.000  0.000  0.000
As  0.500  0.500  0.500
O  0.000  0.500  0.000
F  0.000  0.000  0.500

Summary:
Formation energy from raw total energies = -0.646 eV per atom
Total magnetization = 0.0 μB/f.u.


# 9
Below is crystalline AcTiAsO6 at its relaxed geometry, with properties calculated at the PBE-GGA level.

abc: 4.971 4.971 9.619
angles: 90.00 90.00 90.00
Space group P4_2nm (No. 102)
Symmetry-distinct sites (fractional):
Ac  0.000  0.000  0.000
Ti  0.000  0.000  0.654
As  0.000  0.000  0.336
O  0.163  0.163  0.488
O  0.238  0.238  0.198
O  0.249  0.751  0.304

Summary:
Formation energy from raw total energies = -2.232 eV per atom
Total magnetization = 0.0 μB/f.u.


# 10
Below is crystalline LaScNi2 at its relaxed geometry, with properties calculated at the PBE-GGA level.

abc: 3.534 3.906 11.943
angles: 90.00 90.00 90.00
Space group Imm2 (No. 44)
Symmetry-distinct sites (fractional):
La  0.000  0.000  0.000
Sc  0.000  0.500  0.239
Ni  0.000  0.000  0.393
Ni  0.000  0.500  0.753

Summary:
Total energy = -47.337 eV per cell
Total magnetization = 0.0 μB/f.u.


# 11
Below is crystalline TiCd4Ag3 at its relaxed geometry, with properties calculated at the PBE-GGA level.

abc: 3.037 3.037 16.731
angles: 90.00 90.00 90.00
Space group P4/mmm (No. 123)
Symmetry-distinct sites (fractional):
Ti  0.000  0.000  0.000
Cd  0.500  0.500  0.125
Cd  0.500  0.500  0.375
Ag  0.000  0.000  0.250
Ag  0.000  0.000  0.500

Summary:
Total energy = -20.366 eV per cell
Total magnetization = 1.1 μB/f.u.


# 12
Below is crystalline BaFe2Cl at its relaxed geometry, with properties calculated at the PBE-GGA level.

abc: 4.798 4.798 5.832
angles: 90.00 90.00 90.00
Space group P4/mmm (No. 123)
Symmetry-distinct sites (fractional):
Ba  0.000  0.000  0.000
Fe  0.500  0.500  0.180
Cl  0.000  0.000  0.500

Summary:
Formation energy from raw total energies = 0.469 eV per atom
Total magnetization = 6.1 μB/f.u.


# 13
Below is crystalline Y6Mg2Ag at its relaxed geometry, with properties calculated at the PBE-GGA level.

abc: 6.342 9.440 10.115
angles: 90.00 118.21 90.00
Space group P2_1/c (No. 14)
Symmetry-distinct sites (fractional):
Y  0.062  0.171  0.468
Y  0.363  0.685  0.444
Y  0.427  0.035  0.304
Mg  0.118  0.098  0.772
Ag  0.000  0.000  0.000

Summary:
Total energy = -89.175 eV per cell
Total magnetization = 0.5 μB/f.u.


# 14
Below is crystalline Sr3LiRh at its relaxed geometry, with properties calculated at the PBE-GGA level.

abc: 8.935 11.337 7.025
angles: 90.00 90.00 90.00
Space group Pnma (No. 62)
Symmetry-distinct sites (fractional):
Sr  0.039  0.250  0.129
Sr  0.183  0.041  0.644
Li  0.093  0.750  0.342
Rh  0.000  0.000  0.000

Summary:
Total energy = -59.672 eV per cell
Total magnetization = 0.0 μB/f.u.


# 15
Below is crystalline TbYFe4 at its relaxed geometry, with properties calculated at the PBE-GGA level.

abc: 7.284 7.284 7.284
angles: 90.00 90.00 90.00
Space group F-43m (No. 216)
Symmetry-distinct sites (fractional):
Tb  0.000  0.000  0.000
Y  0.250  0.250  0.750
Fe  0.125  0.125  0.375

Summary:
Total energy = -181.256 eV per cell
Total magnetization = 6.9 μB/f.u.


# 16
Below is crystalline KVW3 at its relaxed geometry, with properties calculated at the PBE-GGA level.

abc: 4.503 4.503 4.503
angles: 90.00 90.00 90.00
Space group Pm-3m (No. 221)
Symmetry-distinct sites (fractional):
K  0.000  0.000  0.000
V  0.500  0.500  0.500
W  0.000  0.000  0.500

Summary:
Total energy = -30.916 eV per cell
Total magnetization = 2.2 μB/f.u.


# 17
Below is crystalline NaRuCl4 at its relaxed geometry, with properties calculated at the PBE-GGA level.

abc: 12.283 3.667 6.981
angles: 90.00 102.94 90.00
Space group C2/m (No. 12)
Symmetry-distinct sites (fractional):
Na  0.000  0.000  0.000
Ru  0.000  0.500  0.500
Cl  0.108  0.000  0.419
Cl  0.112  0.500  0.824

Summary:
Formation energy from raw total energies = -0.903 eV per atom
Total magnetization = 1.0 μB/f.u.


# 18
Below is crystalline ZrPd2Au2 at its relaxed geometry, with properties calculated at the PBE-GGA level.

abc: 7.064 7.064 3.668
angles: 90.00 90.00 90.00
Space group P4/mbm (No. 127)
Symmetry-distinct sites (fractional):
Zr  0.000  0.000  0.000
Pd  0.137  0.363  0.000
Au  0.162  0.662  0.500

Summary:
Total energy = -54.174 eV per cell
Total magnetization = 0.0 μB/f.u.


# 19
Below is crystalline SrCd2Os at its relaxed geometry, with properties calculated at the PBE-GGA level.

abc: 4.580 4.580 8.521
angles: 90.00 90.00 90.00
Space group I-4m2 (No. 119)
Symmetry-distinct sites (fractional):
Sr  0.000  0.000  0.000
Cd  0.000  0.000  0.500
Cd  0.000  0.500  0.750
Os  0.000  0.500  0.250

Summary:
Total energy = -25.075 eV per cell
Total magnetization = 0.0 μB/f.u.


# 20
Below is crystalline Ba2ScW at its relaxed geometry, with properties calculated at the PBE-GGA level.

abc: 4.380 6.006 10.611
angles: 90.00 90.00 90.00
Space group Imm2 (No. 44)
Symmetry-distinct sites (fractional):
Ba  0.000  0.000  0.000
Ba  0.000  0.500  0.197
Sc  0.000  0.500  0.801
W  0.000  0.000  0.437

Summary:
Total energy = -38.624 eV per cell
Total magnetization = 1.8 μB/f.u.


# 21
Below is crystalline TmAg2AsSe4 at its relaxed geometry, with properties calculated at the PBE-GGA level.

abc: 7.934 8.128 11.409
angles: 90.00 90.00 90.00
Space group Imma (No. 74)
Symmetry-distinct sites (fractional):
Tm  0.000  0.000  0.000
Ag  0.000  0.000  0.500
Ag  0.250  0.250  0.250
As  0.250  0.250  0.750
Se  0.000  0.012  0.751
Se  0.248  0.250  0.992

Summary:
Formation energy from raw total energies = -0.597 eV per atom
Total magnetization = 0.0 μB/f.u.


# 22
Below is crystalline InPb2S5 at its relaxed geometry, with properties calculated at the PBE-GGA level.

abc: 7.883 9.429 7.136
angles: 90.00 118.37 90.00
Space group Cm (No. 8)
Symmetry-distinct sites (fractional):
In  0.000  0.000  0.000
Pb  0.392  0.260  0.508
S  0.014  0.223  0.191
S  0.202  0.000  0.636
S  0.232  0.500  0.627
S  0.312  0.000  0.954

Summary:
Formation energy from raw total energies = -0.281 eV per atom
Total magnetization = 0.0 μB/f.u.


# 23
Below is crystalline BaCd3In4 at its relaxed geometry, with properties calculated at the PBE-GGA level.

abc: 5.063 5.063 9.082
angles: 90.00 90.00 90.00
Space group P4/mmm (No. 123)
Symmetry-distinct sites (fractional):
Ba  0.000  0.000  0.000
Cd  0.000  0.000  0.500
Cd  0.500  0.500  0.153
In  0.000  0.500  0.322

Summary:
Total energy = -17.133 eV per cell
Total magnetization = 0.0 μB/f.u.